#w
! DyTlAsO (PBE-GGA, optimized geometry); values from VASP
&SYSTEM
  ibrav = 0, nat = 8, ntyp = 4
/
ATOMIC_SPECIES
As 74.92 As.upf
Dy 162.50 Dy.upf
O 16.00 O.upf
Tl 204.38 Tl.upf
CELL_PARAMETERS angstrom
-4.760 -3.159 -1.141
3.265 -3.890 -2.854
0.686 -2.597 4.326
ATOMIC_POSITIONS angstrom
As -2.034 -2.890 1.611
Dy -0.404 -4.823 0.165
O -0.747 -3.524 -1.997
O 0.000 0.000 0.000
Tl -2.377 -1.590 -0.553
Tl 2.316 -4.532 2.881
As 1.973 -3.232 0.717
Dy 0.343 -1.299 2.163
! Space group   No. 129
! Total magnetic moment   0.000 μB/atom


#x
! DyTlAsO (PBE-GGA, optimized geometry); values from VASP
&SYSTEM
  ibrav = 0, nat = 8, ntyp = 4
/
ATOMIC_SPECIES
Tl 204.38 Tl.upf
O 16.00 O.upf
Dy 162.50 Dy.upf
As 74.92 As.upf
CELL_PARAMETERS angstrom
4.690 0.000 0.000
0.000 4.690 0.000
0.000 0.000 8.095
ATOMIC_POSITIONS angstrom
Tl 3.517 3.517 7.337
O 1.172 3.517 0.000
Tl 1.172 1.172 0.758
Dy 1.172 3.517 4.047
As 3.517 3.517 2.534
As 1.172 1.172 5.560
O 3.517 1.172 0.000
Dy 3.517 1.172 4.047
! Space group   No. 129
! Total magnetic moment   0.003 μB/atom


Going by the energies, #w is most stable and the next is 60.7 kJ/mol of atoms up.


#w
! DyAsPb (PBE-GGA, optimized geometry); values from VASP
&SYSTEM
  ibrav = 0, nat = 3, ntyp = 3
/
ATOMIC_SPECIES
Pb 207.20 Pb.upf
Dy 162.50 Dy.upf
As 74.92 As.upf
CELL_PARAMETERS angstrom
-1.568 -4.127 -2.356
-2.375 -3.590 2.553
-4.893 -0.763 -0.720
ATOMIC_POSITIONS angstrom
Pb -6.627 -6.360 -0.393
Dy 0.000 0.000 0.000
As -2.209 -2.120 -0.131
! Space group   No. 216
! Total magnetic moment   0.000 μB/atom


#x
! DyAsPb (PBE-GGA, optimized geometry); values from VASP
&SYSTEM
  ibrav = 0, nat = 3, ntyp = 3
/
ATOMIC_SPECIES
Pb 207.20 Pb.upf
Dy 162.50 Dy.upf
As 74.92 As.upf
CELL_PARAMETERS angstrom
0.000 3.566 3.566
3.566 0.000 3.566
3.566 3.566 0.000
ATOMIC_POSITIONS angstrom
Pb 0.000 0.000 0.000
Dy 5.349 5.349 5.349
As 1.783 1.783 1.783
! Space group   No. 216
! Total magnetic moment   0.001 μB/atom


Going by the energies, #w is most stable and the next is 21.9 kJ/mol of atoms up.


#w
! Dy3As2S (PBE-GGA, optimized geometry); values from VASP
&SYSTEM
  ibrav = 0, nat = 6, ntyp = 3
/
ATOMIC_SPECIES
As 74.92 As.upf
Dy 162.50 Dy.upf
S 32.06 S.upf
CELL_PARAMETERS angstrom
2.988 -6.279 -0.876
4.848 -2.224 4.546
-6.598 2.193 -0.882
ATOMIC_POSITIONS angstrom
As 1.309 -1.420 0.613
Dy -0.505 -3.454 -0.270
Dy 1.743 -2.856 3.058
S 3.918 -4.251 1.835
As 6.528 -7.083 3.058
Dy -0.875 -0.015 1.832
! Space group   No. 71
! Total magnetic moment   0.001 μB/atom


#x
! Dy3As2S (PBE-GGA, optimized geometry); values from VASP
&SYSTEM
  ibrav = 0, nat = 6, ntyp = 3
/
ATOMIC_SPECIES
Dy 162.50 Dy.upf
As 74.92 As.upf
S 32.06 S.upf
CELL_PARAMETERS angstrom
-0.710 -0.441 -3.974
0.569 -3.273 2.336
-9.721 -0.416 1.784
ATOMIC_POSITIONS angstrom
Dy -3.533 -1.524 -1.275
As -1.519 -2.400 0.538
S -4.861 -0.208 0.892
Dy 0.000 0.000 0.000
As -8.344 -1.730 -0.392
Dy -6.330 -2.606 1.420
! Space group   No. 164
! Total magnetic moment   0.000 μB/atom


Going by the energies, #w is most stable and the next is 1.2 kJ/mol of atoms up.


#w
! Dy3As2Se (PBE-GGA, optimized geometry); values from VASP
&SYSTEM
  ibrav = 0, nat = 6, ntyp = 3
/
ATOMIC_SPECIES
Dy 162.50 Dy.upf
Se 78.96 Se.upf
As 74.92 As.upf
CELL_PARAMETERS angstrom
4.326 4.539 3.328
-2.657 5.792 3.128
-0.066 -7.090 -0.348
ATOMIC_POSITIONS angstrom
Dy -1.074 1.133 2.504
Se 0.000 0.000 0.000
Dy 2.130 -1.276 1.490
As 1.110 6.872 4.295
Dy 2.676 2.107 3.605
As 0.559 3.459 2.162
! Space group   No. 71
! Total magnetic moment   0.001 μB/atom


#x
! Dy3As2Se (PBE-GGA, optimized geometry); values from VASP
&SYSTEM
  ibrav = 0, nat = 6, ntyp = 3
/
ATOMIC_SPECIES
Dy 162.50 Dy.upf
Se 78.96 Se.upf
As 74.92 As.upf
CELL_PARAMETERS angstrom
-3.181 1.613 2.022
-0.628 -2.123 -3.451
-0.880 -8.468 5.368
ATOMIC_POSITIONS angstrom
Dy -0.440 -4.234 2.684
Dy -3.054 -6.599 4.614
Se 0.000 0.000 0.000
Dy -1.635 -2.379 -0.675
As -2.066 -6.526 1.954
As -2.623 -2.452 1.985
! Space group   No. 164
! Total magnetic moment   0.000 μB/atom


Going by the energies, #w is most stable and the next is 0.8 kJ/mol of atoms up.